Computed, not measured: a relaxed structure of Sm2AlSi3Ir4 at the PBE-GGA level of DFT. Values from VASP.

- Formation energy (no corrections): -1030 meV/atom
- Volume: 174 Å³ per cell
- Density of states at the Fermi level: 6.69 states/eV per cell
- M_tot: 0.000 μB/atom

Quantum ESPRESSO input file:
```
&SYSTEM
  ibrav = 0, nat = 10, ntyp = 4
/
ATOMIC_SPECIES
Sm 150.36 Sm.upf
Al 26.98 Al.upf
Si 28.09 Si.upf
Ir 192.22 Ir.upf
ATOMIC_POSITIONS angstrom
Sm 0.000 2.077 2.526
Sm 2.077 0.000 7.559
Al 0.000 0.000 5.042
Si 0.000 2.077 8.795
Si 2.077 0.000 1.290
Si 2.077 2.077 5.042
Ir 0.000 0.000 0.000
Ir 0.000 2.077 6.404
Ir 2.077 0.000 3.681
Ir 2.077 2.077 0.000
CELL_PARAMETERS angstrom
4.155 0.000 0.000
0.000 4.155 0.000
0.000 0.000 10.085
```